1.
Ir4C5 | PBE | optimized geometry Values from VASP.

Calculated values
E (eV/atom): -7.468
Magnetization (μB/cell): 0.00
ΔH_f (0 K) (eV per atom): 1.59
ρ (g/cm³): 12.70
Relative energy among the computed polymorphs (meV/atom): 0

```
&SYSTEM
  ibrav = 0, nat = 9, ntyp = 2
/
ATOMIC_SPECIES
Ir 192.22 Ir.upf
C 12.01 C.upf
CELL_PARAMETERS angstrom
-4.583 4.583 1.290
4.583 -4.583 1.290
4.583 4.583 -1.290
ATOMIC_POSITIONS crystal
Ir 0.219 0.000 0.219
Ir 0.781 0.000 0.781
Ir 0.000 0.781 0.781
Ir 0.000 0.219 0.219
C 0.000 0.000 0.000
C 0.281 0.719 0.000
C 0.719 0.281 0.000
C 0.719 0.719 0.437
C 0.281 0.281 0.563
```

=====

2.
IrC5 | PBE | optimized geometry Values from VASP.

Calculated values
E (eV/atom): -8.235
Magnetization (μB/cell): 0.00
ΔH_f (0 K) (eV per atom): 0.93
ρ (g/cm³): 8.13
Relative energy among the computed polymorphs (meV/atom): 171

```
&SYSTEM
  ibrav = 0, nat = 6, ntyp = 2
/
ATOMIC_SPECIES
Ir 192.22 Ir.upf
C 12.01 C.upf
CELL_PARAMETERS angstrom
1.357 3.436 -0.001
-1.357 3.436 -0.001
0.000 0.165 5.523
ATOMIC_POSITIONS crystal
Ir 0.224 0.224 0.048
C 0.954 0.954 0.901
C 0.407 0.407 0.364
C 0.807 0.807 0.472
C 0.621 0.621 0.312
C 0.820 0.820 0.736
```

=====

3.
K2IrC | PBE | optimized geometry Values from VASP.

Calculated values
E (eV/atom): -4.727
Magnetization (μB/cell): 0.00
ΔH_f (0 K) (eV per atom): 0.34
ρ (g/cm³): 3.53

```
&SYSTEM
  ibrav = 0, nat = 8, ntyp = 3
/
ATOMIC_SPECIES
K 39.10 K.upf
Ir 192.22 Ir.upf
C 12.01 C.upf
CELL_PARAMETERS angstrom
11.735 0.000 0.000
0.000 11.735 0.000
5.867 5.867 1.928
ATOMIC_POSITIONS crystal
K 0.375 0.125 0.250
K 0.375 0.625 0.250
K 0.375 0.625 0.750
K 0.875 0.625 0.750
Ir 0.000 0.000 0.000
Ir 0.750 0.250 0.500
C 0.500 0.500 0.000
C 0.250 0.750 0.500
```